Entry 1:
Density functional theory data (PBE) for a geometry-optimized CoCuCl2 structure.

Cell: 3.3036 3.4637 6.8837 Å, 90.00 90.00 90.00°
Sites, in units of the cell vectors:
Co: 0.0000 0.0000 0.0000
Cu: 0.5000 0.0000 0.5000
Cl: 0.0000 0.5000 0.5000
Cl: 0.5000 0.5000 0.0000

## Properties
Total energy = -14.412 eV for the cell shown
Space group = Pmmm
Energy above the lowest structure with this stoichiometry = 1.02 eV per formula unit

---

Entry 2:
Density functional theory data (PBE) for a geometry-optimized SrPaIr2 structure.

Cell: 6.1408 4.5471 7.6522 Å, 90.00 113.07 90.00°
Sites, in units of the cell vectors:
Sr: 0.1731 0.2500 0.4038
Sr: 0.8269 0.7500 0.5962
Pa: 0.3530 0.7500 0.0947
Pa: 0.6470 0.2500 0.9053
Ir: 0.1148 0.2500 0.9233
Ir: 0.4019 0.7500 0.7516
Ir: 0.5981 0.2500 0.2484
Ir: 0.8852 0.7500 0.0767

## Properties
Total energy = -62.318 eV for the cell shown
Formation enthalpy at 0 K = -565 meV/atom
Space group = P2_1/m
Energy above the lowest structure with this stoichiometry = 0.15 eV per formula unit

---

Entry 3:
Density functional theory data (PBE) for a geometry-optimized La7Nd2Y structure.

Cell: 10.5405 10.5405 3.5918 Å, 90.00 90.00 109.46°
Sites, in units of the cell vectors:
La: 0.0000 0.0000 0.0000
La: 0.1192 0.3742 0.0000
La: 0.1803 0.8197 0.5000
La: 0.3742 0.1192 0.0000
La: 0.6258 0.8808 0.0000
La: 0.8197 0.1803 0.5000
La: 0.8808 0.6258 0.0000
Nd: 0.3309 0.6691 0.0000
Nd: 0.6691 0.3309 0.0000
Y: 0.5000 0.5000 0.5000

## Properties
Total energy = -47.403 eV for the cell shown
Formation enthalpy at 0 K = 309 meV/atom
Space group = Cmmm
Energy above the lowest structure with this stoichiometry = 0.00 eV per formula unit

---

Entry 4:
Density functional theory data (PBE) for a geometry-optimized Nb2CuIr9 structure.

Cell: 3.9101 3.9101 11.6652 Å, 90.00 90.00 90.00°
Sites, in units of the cell vectors:
Nb: 0.0000 0.0000 0.1734
Nb: 0.0000 0.0000 0.8266
Cu: 0.0000 0.0000 0.5000
Ir: 0.0000 0.5000 0.0000
Ir: 0.0000 0.5000 0.3352
Ir: 0.0000 0.5000 0.6648
Ir: 0.5000 0.0000 0.0000
Ir: 0.5000 0.0000 0.3352
Ir: 0.5000 0.0000 0.6648
Ir: 0.5000 0.5000 0.1671
Ir: 0.5000 0.5000 0.5000
Ir: 0.5000 0.5000 0.8329

## Properties
Total energy = -108.089 eV for the cell shown
Formation enthalpy at 0 K = -342 meV/atom
Space group = P4/mmm